Record 1
AgSb2Te | meta-GGA SCAN | single point on PBEsol structure

```
4
Lattice="4.319 0.000 0.000 0.000 4.319 0.000 -2.160 -2.160 5.350" Properties=species:S:1:pos:R:3 pbc="T T T"
Sb 0.000 2.160 2.675
Ag 0.000 0.000 0.000
Sb 2.160 0.000 2.675
Te 2.160 2.160 0.000
```

Values from the calculation:
- space group = No. 139
- crystal system = tetragonal
- formation energy from raw total energies (kJ/mol of atoms) = 30.29



Record 2
La3TlOs | meta-GGA SCAN | single point on PBEsol structure

```
5
Lattice="5.473 0.000 0.000 0.000 5.473 0.000 0.000 0.000 5.473" Properties=species:S:1:pos:R:3 pbc="T T T"
La 0.000 0.000 2.737
La 0.000 2.737 0.000
Os 0.000 0.000 0.000
La 2.737 0.000 0.000
Tl 2.737 2.737 2.737
```

Values from the calculation:
- space group = No. 221
- crystal system = cubic
- ΔE_f (eV per atom) = -0.3688



Record 3
NaPH5C2SN3O4 | meta-GGA SCAN | single point on PBEsol structure

```
34
Lattice="-4.052 -1.949 -3.624 5.348 -3.811 -1.215 -2.977 -5.736 8.188" Properties=species:S:1:pos:R:3 pbc="T T T"
N 0.112 -7.729 1.039
N -0.629 -9.806 1.802
O -3.748 -5.540 2.826
H -2.605 -4.430 2.476
O -0.557 -5.299 3.429
H 0.958 -5.783 3.944
C -0.590 -4.205 2.807
H 0.923 -7.066 0.873
S 0.697 -8.905 4.825
O -1.364 -6.643 6.523
P -3.472 -4.069 -2.092
N -1.794 -3.768 2.310
S -2.379 -2.591 -1.476
H 0.022 -4.210 -3.871
O -2.653 -8.768 3.167
Na 0.647 -4.755 -0.996
H -0.370 -6.716 6.591
O 0.972 -2.729 0.181
H -2.639 -5.713 -0.595
H -1.311 -4.781 -3.242
O 2.067 -5.956 0.523
P 1.790 -7.427 5.440
N 0.493 -3.420 2.631
C 0.401 -8.990 1.508
H 4.061 -4.463 0.213
H -5.742 -7.033 3.135
H -1.704 -7.287 7.219
C -2.082 -2.506 1.840
O -0.317 -4.853 -3.174
N -1.052 -1.691 1.547
C -1.091 -7.292 0.542
N -2.174 -8.076 0.718
O -1.124 -6.198 -0.080
Na -2.328 -6.741 4.345
```

Values from the calculation:
- space group = No. 2
- crystal system = triclinic
- electronic total energy (eV for the cell shown) = -261.25



Record 4
La2AlGe3 | meta-GGA SCAN | single point on PBEsol structure

```
6
Lattice="-0.728 -3.924 1.542 4.273 -0.468 0.824 -2.762 5.027 5.554" Properties=species:S:1:pos:R:3 pbc="T T T"
Ge 0.865 0.401 7.365
La -0.603 -1.277 2.403
La -0.749 2.143 5.100
Ge 2.053 0.006 0.983
Ge 1.197 -0.550 5.101
Al 1.724 0.947 3.223
```

Values from the calculation:
- space group = No. 44
- crystal system = orthorhombic
- ΔE_f (eV per atom) = -0.7756